No. 1
The following is a DFT calculation (PBE) of a relaxed V2Zn2Pb crystal.

Lattice parameters (Å, degrees): 7.0967 7.0967 3.4366 90.00 90.00 90.00
Sites, in units of the cell vectors:
Pb 0.0000 0.0000 0.0000
V 0.1052 0.3948 0.0000
Zn 0.1841 0.6841 0.5000
V 0.3948 0.8948 0.0000
Zn 0.3159 0.1841 0.5000
Zn 0.6841 0.8159 0.5000
Zn 0.8159 0.3159 0.5000
Pb 0.5000 0.5000 0.0000
V 0.6052 0.1052 0.0000
V 0.8948 0.6052 0.0000

Properties
DFT formation energy   0.343 eV/atom
Distance to the lowest polymorph of the same formula   0.000 eV per formula unit

***

No. 2
The following is a DFT calculation (PBE) of a relaxed CaMn2Te crystal.

Lattice parameters (Å, degrees): 3.6126 3.6126 6.8483 90.00 90.00 90.05
Each line ends with the local moment (μB).
Sites, in units of the cell vectors:
Mn 0.5000 0.5000 0.2334  3.69
Mn 0.0000 0.0000 0.0558  3.68
Ca 0.5000 0.5000 0.7579  -0.01
Te 0.0000 0.0000 0.4529  0.02

Properties
Formation energy without anion corrections   0.3 eV per formula unit

***

| no. | total magnetization (μB per cell) | V (Å³ per cell) | DFT total energy (Ry per atom) |
| --- | --- | --- | --- |
| 1 | 0.0 | 173.1 | -0.33482 |
| 2 | 7.7 | 89.4 | -0.42674 |